The following is a GGA-PBE calculation of crystalline SrNiSe2 at its relaxed geometry, from the Alexandria database.

Lattice parameters (Å, degrees): 4.8271 4.8271 21.9297 90.00 90.00 120.00
Space group R-3m (No. 166, hexagonal axes)
Unique sites:
Sr1 0.0000 0.0000 0.0000 [3 per cell]
Ni1 0.0000 0.0000 0.5000 [3 per cell]
Se1 0.0000 0.0000 0.3996 [6 per cell]

offset from the most stable computed form = 0.351 eV per atom
uncorrected energy = -4.260 eV per atom
total magnetization = 6.00 Bohr magnetons per cell
E_form (uncorrected) = -0.65 eV per atom